PBE NaMoIrC2, relaxed; N(E_F) = 6.1 states/eV per cell
1.0
4.004 0.000 0.000
0.000 4.004 0.000
0.000 0.000 5.175
Na Mo Ir C
1 1 1 2
direct
0.000 0.000 0.000
0.000 0.000 0.500
0.500 0.500 0.000
0.000 0.500 0.500
0.500 0.000 0.500

=====

PBE NbMoIr2C, relaxed; N(E_F) = 5.0 states/eV per cell
1.0
4.776 0.000 0.000
0.000 4.776 0.000
0.000 0.000 3.909
Nb Mo Ir C
1 1 2 1
direct
0.000 0.000 0.000
0.500 0.500 0.500
0.000 0.500 0.500
0.500 0.000 0.500
0.500 0.500 0.000

=====

PBE NiMoIr2C, relaxed; N(E_F) = 4.7 states/eV per cell
1.0
4.005 0.000 0.000
0.000 4.005 0.000
0.000 0.000 4.128
Ni Mo Ir C
1 1 2 1
direct
0.000 0.000 0.000
0.500 0.500 0.000
0.000 0.500 0.500
0.500 0.000 0.500
0.500 0.500 0.500

=====

Let's list calculated total energy in order: -27.80, -40.05, -41.85 eV per cell.
Let's list magnetic moment in order: 0.6, 0.0, 0.0 μB per formula unit.